Below is crystalline RbAlP at its relaxed geometry, with properties calculated at the GGA-PBE level.

Lattice parameters (Å, degrees): 6.7722 7.3182 7.6551 90.00 114.17 90.00
Space group P2_1/c (No. 14)
Symmetry-distinct sites (fractional):
Rb  0.1741  0.1452  0.3878 x4
Al  0.3390  0.6084  0.5784 x4
P  0.3909  0.6310  0.2873 x4

Values from the calculation:
ΔH_f (0 K): -0.312 eV/atom
calculated volume: 28.8 A^3/atom
total magnetic moment: 0.0 Bohr magnetons per cell

***

Below is crystalline RbAlP at its relaxed geometry, with properties calculated at the GGA-PBE level.

Lattice parameters (Å, degrees): 3.9886 5.7358 7.7888 76.59 75.22 69.66
Space group P-1 (No. 2)
Symmetry-distinct sites (fractional):
Rb  0.0671  0.2192  0.1450 x2
Al  0.3516  0.2563  0.5407 x2
P  0.2861  0.6278  0.2993 x2

Values from the calculation:
ΔH_f (0 K): -0.441 eV/atom
calculated volume: 26.6 A^3/atom
total magnetic moment: 0.0 Bohr magnetons per cell

***

Below is crystalline RbAl2P at its relaxed geometry, with properties calculated at the GGA-PBE level.

Lattice parameters (Å, degrees): 8.1452 8.1452 6.3761 90.00 90.00 90.00
Space group I-42d (No. 122)
Symmetry-distinct sites (fractional):
Rb  0.0000  0.0000  0.0000 x4
Al  0.1624  0.2500  0.6250 x8
P  0.0000  0.0000  0.5000 x4

Values from the calculation:
ΔH_f (0 K): 0.174 eV/atom
calculated volume: 26.4 A^3/atom
total magnetic moment: 0.0 Bohr magnetons per cell

***

Below is crystalline Rb4AlP2 at its relaxed geometry, with properties calculated at the GGA-PBE level.

Lattice parameters (Å, degrees): 7.1696 7.1696 15.8692 90.00 90.00 90.00
Space group I4/mmm (No. 139)
Symmetry-distinct sites (fractional):
Rb  0.0000  0.0000  0.2310 x4
Rb  0.0000  0.5000  0.0000 x4
Al  0.0000  0.0000  0.0000 x2
P  0.0000  0.0000  0.4357 x4

Values from the calculation:
ΔH_f (0 K): 0.205 eV/atom
calculated volume: 58.3 A^3/atom
total magnetic moment: 0.5 Bohr magnetons per cell

***

Below is crystalline RbAlP at its relaxed geometry, with properties calculated at the GGA-PBE level.

Lattice parameters (Å, degrees): 3.8773 6.3322 7.6182 85.19 75.26 72.24
Space group P1 (No. 1)
Symmetry-distinct sites (fractional):
Rb  0.0000  0.0000  0.0000 x1
Rb  0.4017  0.4794  0.7090 x1
Al  0.2879  0.9918  0.4313 x1
Al  0.5832  0.5788  0.2566 x1
P  0.1987  0.3468  0.2565 x1
P  0.7247  0.9391  0.6100 x1

Values from the calculation:
ΔH_f (0 K): -0.316 eV/atom
calculated volume: 28.7 A^3/atom
total magnetic moment: 0.0 Bohr magnetons per cell

***

Below is crystalline RbAlP at its relaxed geometry, with properties calculated at the GGA-PBE level.

Lattice parameters (Å, degrees): 3.9609 5.2486 12.0378 81.31 83.70 68.01
Space group P1 (No. 1)
Symmetry-distinct sites (fractional):
Rb  0.0000  0.0000  0.0000 x1
Rb  0.4946  0.6384  0.5542 x1
Al  0.3977  0.0141  0.2915 x1
Al  0.6777  0.4872  0.2441 x1
P  0.2644  0.3824  0.1387 x1
P  0.8142  0.1112  0.3983 x1

Values from the calculation:
ΔH_f (0 K): -0.384 eV/atom
calculated volume: 38.2 A^3/atom
total magnetic moment: 0.0 Bohr magnetons per cell